Record 1
VASP calculation (GGA-PBE) on a relaxed Tb2Zn16Pt crystal.

Cell: 6.7900 6.7900 6.7900 Å, 82.71 82.71 82.71°
Element x y z (fractional)
Tb 0.6677 0.6677 0.6677
Tb 0.3375 0.3375 0.3375
Zn 0.7065 0.9985 0.2918
Zn 0.9985 0.2918 0.7065
Zn 0.2918 0.7065 0.9985
Zn 0.9985 0.7065 0.2918
Zn 0.7065 0.2918 0.9985
Zn 0.2918 0.9985 0.7065
Zn 0.3549 0.8370 0.3549
Zn 0.8370 0.3549 0.3549
Zn 0.3549 0.3549 0.8370
Zn 0.6490 0.1576 0.6490
Zn 0.1576 0.6490 0.6490
Zn 0.6490 0.6490 0.1576
Zn 0.9985 0.5015 0.9985
Zn 0.5015 0.9985 0.9985
Zn 0.9985 0.9985 0.5015
Zn 0.1017 0.1017 0.1017
Pt 0.8987 0.8987 0.8987

SG: R3m, No. 160

***

Record 2
VASP calculation (GGA-PBE) on a relaxed Tb2ZnPt3 crystal.

Cell: 3.8809 7.1739 17.1570 Å, 90.00 90.00 90.00°
Element x y z (fractional)
Tb 0.2500 0.6549 0.5692
Tb 0.7500 0.8451 0.0692
Tb 0.2500 0.1549 0.9308
Tb 0.7500 0.3451 0.4308
Tb 0.2500 0.6046 0.7877
Tb 0.7500 0.8954 0.2877
Tb 0.2500 0.1046 0.7123
Tb 0.7500 0.3954 0.2123
Zn 0.2500 0.9897 0.4402
Zn 0.7500 0.5103 0.9402
Zn 0.2500 0.4897 0.0598
Zn 0.7500 0.0103 0.5598
Pt 0.2500 0.7484 0.9474
Pt 0.7500 0.7516 0.4474
Pt 0.2500 0.2484 0.5526
Pt 0.7500 0.2516 0.0526
Pt 0.2500 0.0895 0.1559
Pt 0.7500 0.4105 0.6559
Pt 0.2500 0.5895 0.3441
Pt 0.7500 0.9105 0.8441
Pt 0.2500 0.6978 0.1844
Pt 0.7500 0.8022 0.6844
Pt 0.2500 0.1978 0.3156
Pt 0.7500 0.3022 0.8156

Energy above the most stable polymorph in this dataset, meV/atom: 0
SG: Pnma, No. 62

***

Record 3
VASP calculation (GGA-PBE) on a relaxed Tb2ZnPt4 crystal.

Cell: 4.9761 4.9682 7.1876 Å, 82.28 111.12 113.04°
Element x y z (fractional)
Tb 0.6278 0.5030 0.2805
Tb 0.3722 0.4970 0.7195
Zn 0.0000 0.0000 0.0000
Pt 0.9803 0.8329 0.6567
Pt 0.0197 0.1671 0.3433
Pt 0.0000 0.5000 0.0000
Pt 0.5000 0.0000 0.0000

Energy above the most stable polymorph in this dataset, meV/atom: 0
SG: P-1, No. 2

***

| no. | DFT formation energy (eV per formula unit) | M_tot (μB/f.u.) |
| --- | --- | --- |
| 1 | -5.684 | 0.00 |
| 2 | -6.312 | 0.00 |
| 3 | -6.241 | 0.00 |